[1]
VASP calculation (PBE) on Tb6SbAs5 after structural relaxation.

Summary:
Uncorrected formation energy ... -1.461 eV per atom

Cell lengths 7.2437, 7.2538, 7.2487 Å; angles 59.98, 80.38, 70.49 degrees
Last column: nearest neighbours and their distance in Å.
Fractional coordinates of all 12 atoms:
Tb 0.2555 0.5707 0.3440  5 As 2.90-2.97, 1 Sb 3.04
Tb 0.2555 0.9147 0.6560  5 As 2.90-2.97, 1 Sb 3.04
Tb 0.7445 0.0853 0.3440  5 As 2.90-2.97, 1 Sb 3.04
Tb 0.2545 0.2590 0.0000  5 As 2.88-2.95, 1 Sb 3.04
Tb 0.7455 0.7410 0.0000  5 As 2.88-2.95, 1 Sb 3.04
Tb 0.7445 0.4293 0.6560  5 As 2.90-2.97, 1 Sb 3.04
As 0.5000 0.1640 0.6721  6 Tb 2.90-2.97
As 0.0000 0.3331 0.3338  6 Tb 2.95
As 0.0000 0.6669 0.6662  6 Tb 2.95
As 0.5000 0.5000 0.0000  6 Tb 2.88-2.97
As 0.5000 0.8360 0.3279  6 Tb 2.90-2.97
Sb 0.0000 0.0000 0.0000  6 Tb 3.04

[2]
VASP calculation (PBE) on ScMnHPd2 after structural relaxation.

Summary:
Total DFT energy (no corrections) ... -31.17 eV/cell

Cell lengths 4.0681, 4.0681, 3.9591 Å; angles 90.00, 90.00, 90.00 degrees
Last column: nearest neighbours and their distance in Å.
Fractional coordinates of all 5 atoms:
Pd 0.0000 0.5000 0.0000  2 H 2.03
Pd 0.5000 0.0000 0.0000  2 H 2.03
Sc 0.5000 0.5000 0.5000  8 Pd 2.84, 4 Mn 2.88
H 0.0000 0.0000 0.0000  2 Mn 1.98, 4 Pd 2.03
Mn 0.0000 0.0000 0.5000  2 H 1.98